(1)
# Mg2TlAu

A relaxed Mg2TlAu crystal (PBE-GGA, the Alexandria database).

energy of formation from the pure elements: -0.208 eV per atom
density of states at the Fermi level: 0.39 states/eV/atom

Cell lengths 3.710, 3.803, 6.187 Å; angles 90.00, 90.00, 90.00 degrees
Space group Pmm2 (No. 25)
Asymmetric unit:
Mg  0.000  0.000  0.000 [1 per cell]
Mg  0.500  0.500  0.286 [1 per cell]
Tl  0.000  0.000  0.528 [1 per cell]
Au  0.500  0.500  0.843 [1 per cell]

=====

(2)
# MgTlAu

A relaxed MgTlAu crystal (PBE-GGA, the Alexandria database).

energy of formation from the pure elements: -0.232 eV per atom
density of states at the Fermi level: 0.57 states/eV/atom

Cell lengths 6.638, 6.638, 6.638 Å; angles 90.00, 90.00, 90.00 degrees
Space group F-43m (No. 216)
Asymmetric unit:
Mg  0.000  0.000  0.000 [4 per cell]
Tl  0.000  0.000  0.500 [4 per cell]
Au  0.250  0.250  0.250 [4 per cell]

=====

(3)
# Mg2TlAu

A relaxed Mg2TlAu crystal (PBE-GGA, the Alexandria database).

energy of formation from the pure elements: -0.225 eV per atom
density of states at the Fermi level: 0.31 states/eV/atom

Cell lengths 3.3464, 3.3464, 27.4010 Å; angles 90.00, 90.00, 120.00 degrees
Space group R-3m (No. 166, hexagonal axes)
Asymmetric unit:
Mg  0.0000  0.0000  0.2409 [6 per cell]
Tl  0.0000  0.0000  0.0000 [3 per cell]
Au  0.0000  0.0000  0.5000 [3 per cell]

=====

(4)
# MgTlAu2

A relaxed MgTlAu2 crystal (PBE-GGA, the Alexandria database).

energy of formation from the pure elements: -0.196 eV per atom
density of states at the Fermi level: 0.27 states/eV/atom

Cell lengths 4.610, 4.610, 3.836 Å; angles 90.00, 90.00, 90.00 degrees
Space group P4/mmm (No. 123)
Asymmetric unit:
Mg  0.000  0.000  0.000 [1 per cell]
Tl  0.500  0.500  0.000 [1 per cell]
Au  0.000  0.500  0.500 [2 per cell]

=====

(5)
# Mg5TlAu

A relaxed Mg5TlAu crystal (PBE-GGA, the Alexandria database).

energy of formation from the pure elements: -0.053 eV per atom
density of states at the Fermi level: 0.48 states/eV/atom

Cell lengths 10.101, 7.024, 10.354 Å; angles 90.00, 115.12, 90.00 degrees
Space group C2/c (No. 15)
Asymmetric unit:
Mg  0.000  0.182  0.250 [4 per cell]
Mg  0.118  0.120  0.990 [8 per cell]
Mg  0.237  0.105  0.758 [8 per cell]
Tl  0.000  0.399  0.750 [4 per cell]
Au  0.250  0.250  0.500 [4 per cell]

=====

(6)
# Mg2TlAu

A relaxed Mg2TlAu crystal (PBE-GGA, the Alexandria database).

energy of formation from the pure elements: -0.088 eV per atom
density of states at the Fermi level: 0.52 states/eV/atom

Cell lengths 7.022, 7.022, 7.022 Å; angles 90.00, 90.00, 90.00 degrees
Space group F-43m (No. 216)
Asymmetric unit:
Mg  0.000  0.000  0.000 [4 per cell]
Mg  0.250  0.250  0.250 [4 per cell]
Tl  0.000  0.000  0.500 [4 per cell]
Au  0.250  0.250  0.750 [4 per cell]

=====

(7)
# MgTlAu

A relaxed MgTlAu crystal (PBE-GGA, the Alexandria database).

energy of formation from the pure elements: -0.181 eV per atom
density of states at the Fermi level: 0.29 states/eV/atom

Cell lengths 3.738, 3.880, 8.923 Å; angles 90.00, 90.00, 90.00 degrees
Space group Imm2 (No. 44)
Asymmetric unit:
Mg  0.000  0.000  0.000 [2 per cell]
Tl  0.000  0.000  0.679 [2 per cell]
Au  0.000  0.000  0.349 [2 per cell]

=====

(8)
# Mg2TlAu

A relaxed Mg2TlAu crystal (PBE-GGA, the Alexandria database).

energy of formation from the pure elements: -0.209 eV per atom
density of states at the Fermi level: 0.29 states/eV/atom

Cell lengths 3.8399, 3.8399, 22.6331 Å; angles 90.00, 90.00, 120.00 degrees
Space group R3m (No. 160, hexagonal axes)
Asymmetric unit:
Mg  0.0000  0.0000  0.0000 [3 per cell]
Mg  0.0000  0.0000  0.1945 [3 per cell]
Tl  0.0000  0.0000  0.4300 [3 per cell]
Au  0.0000  0.0000  0.5969 [3 per cell]

=====

(9)
# Mg2TlAu

A relaxed Mg2TlAu crystal (PBE-GGA, the Alexandria database).

energy of formation from the pure elements: -0.243 eV per atom
density of states at the Fermi level: 0.36 states/eV/atom

Cell lengths 3.366, 4.938, 5.004 Å; angles 90.00, 90.01, 90.00 degrees
Space group Pm (No. 6)
Asymmetric unit:
Mg  0.000  0.000  0.000 [1 per cell]
Mg  0.001  0.500  0.556 [1 per cell]
Tl  0.501  0.500  0.062 [1 per cell]
Au  0.502  0.000  0.510 [1 per cell]

=====

(10)
# MgTlAu2

A relaxed MgTlAu2 crystal (PBE-GGA, the Alexandria database).

energy of formation from the pure elements: -0.237 eV per atom
density of states at the Fermi level: 0.25 states/eV/atom

Cell lengths 3.534, 4.444, 5.730 Å; angles 90.00, 106.40, 90.00 degrees
Space group Pm (No. 6)
Asymmetric unit:
Mg  0.000  0.000  0.000 [1 per cell]
Tl  0.708  0.500  0.398 [1 per cell]
Au  0.281  0.000  0.557 [1 per cell]
Au  0.451  0.500  0.887 [1 per cell]

=====

(11)
# MgTlAu2

A relaxed MgTlAu2 crystal (PBE-GGA, the Alexandria database).

energy of formation from the pure elements: -0.185 eV per atom
density of states at the Fermi level: 0.49 states/eV/atom

Cell lengths 3.5074, 3.5074, 25.1089 Å; angles 90.00, 90.00, 120.00 degrees
Space group R-3m (No. 166, hexagonal axes)
Asymmetric unit:
Mg  0.0000  0.0000  0.0000 [3 per cell]
Tl  0.0000  0.0000  0.5000 [3 per cell]
Au  0.0000  0.0000  0.2588 [6 per cell]

=====

(12)
# MgTlAu2

A relaxed MgTlAu2 crystal (PBE-GGA, the Alexandria database).

energy of formation from the pure elements: -0.193 eV per atom
density of states at the Fermi level: 0.27 states/eV/atom

Cell lengths 3.686, 3.686, 6.112 Å; angles 90.00, 90.00, 90.00 degrees
Space group P4mm (No. 99)
Asymmetric unit:
Mg  0.000  0.000  0.000 [1 per cell]
Tl  0.500  0.500  0.312 [1 per cell]
Au  0.000  0.000  0.546 [1 per cell]
Au  0.500  0.500  0.818 [1 per cell]

=====

(13)
# MgTlAu2

A relaxed MgTlAu2 crystal (PBE-GGA, the Alexandria database).

energy of formation from the pure elements: -0.199 eV per atom
density of states at the Fermi level: 0.16 states/eV/atom

Cell lengths 6.113, 6.968, 3.854 Å; angles 90.00, 90.00, 90.00 degrees
Space group Cmmm (No. 65)
Asymmetric unit:
Mg  0.000  0.000  0.000 [2 per cell]
Tl  0.000  0.500  0.000 [2 per cell]
Au  0.250  0.250  0.500 [4 per cell]

=====

(14)
# Mg5TlAu

A relaxed Mg5TlAu crystal (PBE-GGA, the Alexandria database).

energy of formation from the pure elements: -0.234 eV per atom
density of states at the Fermi level: 0.33 states/eV/atom

Cell lengths 4.720, 4.720, 7.053 Å; angles 90.00, 90.00, 90.00 degrees
Space group P4/mmm (No. 123)
Asymmetric unit:
Mg  0.000  0.000  0.000 [1 per cell]
Mg  0.000  0.500  0.292 [4 per cell]
Tl  0.500  0.500  0.000 [1 per cell]
Au  0.000  0.000  0.500 [1 per cell]

=====

(15)
# MgTlAu

A relaxed MgTlAu crystal (PBE-GGA, the Alexandria database).

energy of formation from the pure elements: -0.154 eV per atom
density of states at the Fermi level: 0.34 states/eV/atom

Cell lengths 4.6056, 4.6056, 3.7975 Å; angles 90.00, 90.00, 120.00 degrees
Space group P3m1 (No. 156)
Asymmetric unit:
Mg  0.0000  0.0000  0.0000 [1 per cell]
Tl  0.6667  0.3333  0.4510 [1 per cell]
Au  0.3333  0.6667  0.8476 [1 per cell]

=====

(16)
# Mg5Tl4Au

A relaxed Mg5Tl4Au crystal (PBE-GGA, the Alexandria database).

energy of formation from the pure elements: -0.143 eV per atom
density of states at the Fermi level: 0.47 states/eV/atom

Cell lengths 3.496, 3.496, 19.293 Å; angles 90.00, 90.00, 90.00 degrees
Space group P4/mmm (No. 123)
Asymmetric unit:
Mg  0.000  0.000  0.000 [1 per cell]
Mg  0.000  0.000  0.213 [2 per cell]
Mg  0.000  0.000  0.423 [2 per cell]
Tl  0.500  0.500  0.106 [2 per cell]
Tl  0.500  0.500  0.314 [2 per cell]
Au  0.500  0.500  0.500 [1 per cell]

=====

(17)
# Mg3Tl5Au12

A relaxed Mg3Tl5Au12 crystal (PBE-GGA, the Alexandria database).

energy of formation from the pure elements: 0.010 eV per atom
density of states at the Fermi level: 0.37 states/eV/atom

Cell lengths 16.225, 16.225, 16.225 Å; angles 90.00, 90.00, 90.00 degrees
Space group Ia-3d (No. 230)
Asymmetric unit:
Mg  0.000  0.250  0.125 [24 per cell]
Tl  0.000  0.000  0.000 [16 per cell]
Tl  0.000  0.250  0.375 [24 per cell]
Au  0.005  0.082  0.652 [96 per cell]

=====

(18)
# MgTlAu2

A relaxed MgTlAu2 crystal (PBE-GGA, the Alexandria database).

energy of formation from the pure elements: -0.188 eV per atom
density of states at the Fermi level: 0.26 states/eV/atom

Cell lengths 6.072, 3.435, 8.761 Å; angles 90.00, 103.89, 90.00 degrees
Space group Cm (No. 8)
Asymmetric unit:
Mg  0.000  0.000  0.000 [2 per cell]
Tl  0.331  0.500  0.500 [2 per cell]
Au  0.093  0.500  0.777 [2 per cell]
Au  0.407  0.000  0.222 [2 per cell]

=====

(19)
# Mg2TlAu

A relaxed Mg2TlAu crystal (PBE-GGA, the Alexandria database).

energy of formation from the pure elements: -0.212 eV per atom
density of states at the Fermi level: 0.38 states/eV/atom

Cell lengths 9.208, 3.829, 5.263 Å; angles 90.00, 107.86, 90.00 degrees
Space group C2/m (No. 12)
Asymmetric unit:
Mg  0.234  0.000  0.218 [4 per cell]
Tl  0.000  0.000  0.500 [2 per cell]
Au  0.000  0.500  0.000 [2 per cell]

=====

(20)
# Mg2Tl2Au

A relaxed Mg2Tl2Au crystal (PBE-GGA, the Alexandria database).

energy of formation from the pure elements: 0.043 eV per atom
density of states at the Fermi level: 0.22 states/eV/atom

Cell lengths 8.005, 8.005, 3.753 Å; angles 90.00, 90.00, 90.00 degrees
Space group P4/mbm (No. 127)
Asymmetric unit:
Mg  0.151  0.349  0.000 [4 per cell]
Tl  0.151  0.651  0.500 [4 per cell]
Au  0.000  0.000  0.500 [2 per cell]